[1]
# PBE-GGA YTaW2, optimized geometry
data_YTaW2
_chemical_formula_sum 'Y1 Ta1 W2'
_symmetry_space_group_name_H-M 'P 1'
_symmetry_Int_Tables_number 1
_symmetry_space_group_name_Hall 'P 1'
_cell_length_a 5.583
_cell_length_b 5.583
_cell_length_c 5.583
_cell_angle_alpha 146.11
_cell_angle_beta 127.89
_cell_angle_gamma 63.62
loop_
_atom_site_label
_atom_site_type_symbol
_atom_site_fract_x
_atom_site_fract_y
_atom_site_fract_z
Y1 Y 0.000 0.000 0.000
Ta1 Ta 0.500 0.500 0.000
W1 W 0.263 0.763 0.500
W2 W 0.737 0.237 0.500
# Volume: 75.7 Å³/cell
# Uncorrected energy: -10.5650 eV/atom
# ΔE to the lowest computed polymorph: 183.6 meV per atom
# Symmetry: Immm (71)
# DFT formation energy: 490.8 meV/atom

[2]
# PBE-GGA Sc2TcRh, optimized geometry
data_Sc2TcRh
_chemical_formula_sum 'Sc2 Tc1 Rh1'
_symmetry_space_group_name_H-M 'P 1'
_symmetry_Int_Tables_number 1
_symmetry_space_group_name_Hall 'P 1'
_cell_length_a 4.525
_cell_length_b 4.525
_cell_length_c 5.435
_cell_angle_alpha 103.32
_cell_angle_beta 103.32
_cell_angle_gamma 40.09
loop_
_atom_site_label
_atom_site_type_symbol
_atom_site_fract_x
_atom_site_fract_y
_atom_site_fract_z
Sc1 Sc 0.249 0.249 0.246
Sc2 Sc 0.751 0.751 0.754
Tc1 Tc 0.500 0.500 0.000
Rh1 Rh 0.000 0.000 0.500
# Volume: 69.5 Å³/cell
# Uncorrected energy: -7.8600 eV/atom
# Symmetry: C2/m (12)
# DFT formation energy: -264.9 meV/atom

What is the volume in the first record?
75.7 Å³/cell